Material: Rb3SmNp3Se8
Method: DFT, PBE
State: optimized geometry

a = 8.501 Å, b = 8.501 Å, c = 9.471 Å
α = 116.67°, β = 116.67°, γ = 60.02°
Sites, in units of the cell vectors:
Rb 0.000 0.000 0.000
Rb 0.000 0.500 0.000
Rb 0.500 0.000 0.000
Sm 0.000 0.000 0.500
Np 0.000 0.500 0.500
Np 0.500 0.000 0.500
Np 0.500 0.500 0.500
Se 0.234 0.234 0.693
Se 0.235 0.725 0.693
Se 0.269 0.269 0.307
Se 0.275 0.765 0.307
Se 0.725 0.235 0.693
Se 0.731 0.731 0.693
Se 0.765 0.275 0.307
Se 0.766 0.766 0.307

Values from the calculation:
symmetry = C2/m (12)
N(E_F) = 1.895 states/eV/atom
formation energy from raw total energies = -1.39 eV/atom
VASP energy = -6.343 eV/atom